1.
Rb2HfB, relaxed, DFT GGA-PBEsol; ΔH_f (0 K) = 1.11 eV per atom; DOS(E_F) = 3.61 states/eV/cell
1.0
4.358 0.000 0.000
2.179 9.478 0.000
2.179 0.000 9.478
B Hf Rb
2 2 4
direct
0.250 0.500 0.500
0.500 0.000 0.000
0.750 0.500 0.500
0.000 0.000 0.000
0.327 0.798 0.298
0.423 0.202 0.702
0.375 0.298 0.202
0.875 0.702 0.798


2.
CaCoP, relaxed, DFT GGA-PBEsol; ΔH_f (0 K) = -0.80 eV per atom; DOS(E_F) = 2.81 states/eV/cell
1.0
-1.824 -2.334 -2.516
-2.975 -2.085 4.090
-1.804 5.248 -0.559
P Ca Co
2 2 2
direct
0.622 0.296 0.243
0.378 0.704 0.757
0.891 0.193 0.783
0.109 0.807 0.217
0.796 0.637 0.592
0.204 0.363 0.408


3.
In3Pb, relaxed, DFT GGA-PBEsol; ΔH_f (0 K) = 0.02 eV per atom; DOS(E_F) = 2.17 states/eV/cell
1.0
-3.658 0.358 1.278
-1.326 -1.141 -3.477
0.098 -6.649 2.144
Pb In
1 3
direct
0.500 0.500 0.500
0.000 0.000 0.762
0.500 0.500 0.000
0.000 0.000 0.238


4.
Mg2Zn3Cu4, relaxed, DFT GGA-PBEsol; ΔH_f (0 K) = -0.06 eV per atom; DOS(E_F) = 2.21 states/eV/cell
1.0
4.308 0.000 0.000
0.000 4.844 0.108
-2.154 -2.079 5.791
Cu Mg Zn
4 2 3
direct
0.224 0.096 0.448
0.776 0.904 0.552
0.560 0.770 0.119
0.440 0.230 0.881
0.338 0.676 0.675
0.662 0.324 0.325
0.107 0.581 0.214
0.893 0.419 0.786
0.000 0.000 0.000


5.
Mo2As3, relaxed, DFT GGA-PBEsol; ΔH_f (0 K) = -0.32 eV per atom; DOS(E_F) = 3.86 states/eV/cell
1.0
-2.701 -1.621 0.618
-0.072 -0.455 6.827
-5.107 6.069 1.929
Mo As
4 6
direct
0.753 0.122 0.372
0.247 0.878 0.628
0.650 0.566 0.134
0.350 0.434 0.866
0.875 0.204 0.047
0.125 0.796 0.953
0.583 0.146 0.687
0.417 0.854 0.313
0.895 0.581 0.629
0.105 0.419 0.371


6.
Sc2TaRe, relaxed, DFT GGA-PBEsol; ΔH_f (0 K) = -0.10 eV per atom; DOS(E_F) = 3.25 states/eV/cell
1.0
-1.257 0.107 -2.952
-1.438 -2.824 0.510
-6.001 3.541 2.683
Sc Re Ta
2 1 1
direct
0.000 0.000 0.949
0.500 0.500 0.286
0.500 0.500 0.729
0.000 0.000 0.537